Compound: Mg3FeSi2O8
Source: the Alexandria database
Functional: PBE+U
Structure: optimized geometry Values from VASP.

```
&SYSTEM
  ibrav = 0, nat = 28, ntyp = 4
/
ATOMIC_SPECIES
O 16.00 O.upf
Mg 24.30 Mg.upf
Fe 55.84 Fe.upf
Si 28.09 Si.upf
ATOMIC_POSITIONS crystal
O 0.973 0.213 0.662
O 0.027 0.213 0.162
O 0.470 0.281 0.838
O 0.530 0.281 0.338
O 0.517 0.000 0.091
O 0.483 0.000 0.591
O 0.027 0.787 0.162
O 0.973 0.787 0.662
O 0.972 0.000 0.447
O 0.028 0.000 0.947
O 0.479 0.500 0.051
O 0.470 0.719 0.838
O 0.530 0.719 0.338
O 0.521 0.500 0.551
O 0.988 0.500 0.913
O 0.012 0.500 0.413
Mg 0.258 0.000 0.777
Mg 0.751 0.250 0.000
Mg 0.751 0.750 0.000
Mg 0.249 0.750 0.500
Mg 0.742 0.000 0.277
Mg 0.249 0.250 0.500
Fe 0.766 0.500 0.722
Fe 0.234 0.500 0.222
Si 0.327 0.500 0.906
Si 0.673 0.500 0.406
Si 0.822 0.000 0.592
Si 0.178 0.000 0.092
CELL_PARAMETERS angstrom
-2.175 3.470 -2.519
-4.062 0.714 4.491
6.170 7.099 4.452
```

Final energy, eV per cell: -195.4